Below is crystalline FeReSbTe2 at its relaxed geometry, with properties calculated at the GGA-PBEsol level.

Structure (POSCAR):
```
FeReSbTe2
1.0
-1.401 1.338 4.297
-4.594 -0.512 -1.338
0.087 -4.586 1.457
Re Te Fe Sb
1 2 1 1
Direct
0.500 0.500 0.500
0.000 0.000 0.500
0.000 0.500 0.000
0.000 0.000 0.000
0.500 0.000 0.000
```

Output
Calculated total energy: -27.5 eV per cell
Volume: 21.83 Å³/atom
DOS at the Fermi energy: 1.1389 states/eV per atom